[1]
Material: K4Sm3VO8
Method: DFT, GGA+U
State: relaxed

abc: 6.934 7.439 6.988
angles: 118.02 119.74 90.00
Each line ends with the local moment (μB).
Fractional coordinates of all 16 atoms:
O: 0.771 0.306 0.541  0.00
K: 0.000 0.000 0.500  0.00
O: 0.271 0.308 0.541  0.00
K: 0.000 0.000 0.000  0.00
K: 0.500 0.000 0.000  0.00
O: 0.756 0.679 0.967  -0.01
Sm: 0.500 0.500 0.000  0.00
O: 0.211 0.679 0.967  -0.01
K: 0.500 0.000 0.500  0.00
O: 0.229 0.694 0.459  0.00
V: 0.000 0.500 0.000  1.93
O: 0.729 0.692 0.459  0.00
Sm: 0.500 0.500 0.500  0.00
O: 0.789 0.321 0.033  -0.01
Sm: 0.000 0.500 0.500  0.00
O: 0.244 0.321 0.033  -0.01

Results
- SG = C2/m
- density of states at the Fermi level (states/eV/f.u.) = 0.0
- total energy (eV/atom) = -6.51

[2]
Material: KSmV4O12
Method: DFT, GGA+U
State: relaxed

abc: 6.246 6.246 7.227
angles: 90.00 90.00 112.00
Fractional coordinates of all 18 atoms:
K: 0.020 0.980 0.000
O: 0.728 0.272 0.736
O: 0.227 0.773 0.219
O: 0.225 0.326 0.300
O: 0.728 0.272 0.264
O: 0.021 0.428 0.000
O: 0.674 0.775 0.700
O: 0.674 0.775 0.300
O: 0.456 0.011 0.500
V: 0.049 0.466 0.746
O: 0.227 0.773 0.781
Sm: 0.573 0.427 0.500
V: 0.534 0.951 0.254
V: 0.534 0.951 0.746
O: 0.225 0.326 0.700
O: 0.989 0.544 0.500
V: 0.049 0.466 0.254
O: 0.572 0.979 0.000

Results
- SG = Amm2
- total energy (eV/atom) = -7.37

[3]
Material: K2SmV2O6
Method: DFT, GGA+U
State: relaxed

abc: 6.164 6.164 7.099
angles: 64.27 64.27 60.00
Each line ends with the local moment (μB).
Fractional coordinates of all 11 atoms:
O: 0.750 0.258 0.241  -0.01
O: 0.742 0.250 0.759  -0.01
O: 0.258 0.750 0.241  -0.01
K: 0.794 0.794 0.619  0.00
K: 0.206 0.206 0.381  0.00
Sm: 0.000 0.000 0.000  0.01
O: 0.750 0.750 0.241  -0.01
V: 0.420 0.420 0.739  0.51
O: 0.250 0.250 0.759  -0.01
V: 0.580 0.580 0.261  0.51
O: 0.250 0.742 0.759  -0.01

Results
- SG = R-3m
- total energy (eV/atom) = -6.82

[4]
Material: K2Sm2VO6
Method: DFT, GGA+U
State: relaxed

abc: 5.855 5.855 6.577
angles: 97.30 97.30 119.56
Each line ends with the local moment (μB).
Fractional coordinates of all 11 atoms:
V: 0.000 0.000 0.500  1.03
O: 0.649 0.955 0.327  0.00
O: 0.045 0.351 0.673  0.00
Sm: 0.667 0.333 0.500  0.00
K: 0.159 0.841 0.000  0.00
O: 0.351 0.045 0.673  0.00
O: 0.225 0.225 0.333  -0.03
O: 0.775 0.775 0.667  -0.03
Sm: 0.333 0.667 0.500  0.00
K: 0.841 0.159 0.000  0.00
O: 0.955 0.649 0.327  0.00

Results
- SG = C2/m
- density of states at the Fermi level (states/eV/f.u.) = 0.0
- total energy (eV/atom) = -6.90